# MoIr2Cl (PBE, relaxed)
data_MoIr2Cl
_cell_length_a 2.746
_cell_length_b 4.460
_cell_length_c 10.572
_cell_angle_alpha 90.00
_cell_angle_beta 90.00
_cell_angle_gamma 90.00
_symmetry_space_group_name_H-M 'P 1'
_symmetry_Int_Tables_number 1
loop_
_symmetry_equiv_pos_as_xyz
'x,y,z'
loop_
_atom_site_label
_atom_site_fract_x
_atom_site_fract_y
_atom_site_fract_z
Mo1 0.000 0.000 0.000
Mo2 0.500 0.500 0.500
Ir1 0.000 0.500 0.279
Ir2 0.000 0.500 0.721
Ir3 0.500 0.000 0.221
Ir4 0.500 0.000 0.779
Cl1 0.000 0.000 0.500
Cl2 0.500 0.500 0.000
# - uncorrected energy (eV per atom) = -7.1646
# - crystal system = orthorhombic
# - magnetic moment (μB per formula unit) = 0.0
# - ΔE_f (raw) (kcal/mol of atoms) = 10.04
# - E above lowest polymorph (meV/atom) = 231

=====

# Li3TeCl6 (PBE, relaxed)
data_Li3TeCl6
_cell_length_a 8.896
_cell_length_b 8.896
_cell_length_c 7.127
_cell_angle_alpha 90.00
_cell_angle_beta 90.00
_cell_angle_gamma 106.69
_symmetry_space_group_name_H-M 'P 1'
_symmetry_Int_Tables_number 1
loop_
_symmetry_equiv_pos_as_xyz
'x,y,z'
loop_
_atom_site_label
_atom_site_fract_x
_atom_site_fract_y
_atom_site_fract_z
Li1 0.029 0.971 0.500
Li2 0.208 0.349 0.506
Li3 0.349 0.208 0.006
Li4 0.651 0.792 0.506
Li5 0.792 0.651 0.006
Li6 0.971 0.029 0.000
Te1 0.342 0.658 0.195
Te2 0.658 0.342 0.695
Cl1 0.114 0.575 0.433
Cl2 0.161 0.166 0.249
Cl3 0.166 0.161 0.749
Cl4 0.211 0.789 0.986
Cl5 0.425 0.886 0.433
Cl6 0.490 0.510 0.449
Cl7 0.510 0.490 0.949
Cl8 0.575 0.114 0.933
Cl9 0.789 0.211 0.486
Cl10 0.834 0.839 0.249
Cl11 0.839 0.834 0.749
Cl12 0.886 0.425 0.933
# - uncorrected energy (eV per atom) = -3.1578
# - crystal system = orthorhombic
# - magnetic moment (μB per formula unit) = 1.0
# - ΔE_f (raw) (kcal/mol of atoms) = -26.78

=====

# MoH3Ru (PBE, relaxed)
data_MoH3Ru
_cell_length_a 3.458
_cell_length_b 3.458
_cell_length_c 3.458
_cell_angle_alpha 90.00
_cell_angle_beta 90.00
_cell_angle_gamma 90.00
_symmetry_space_group_name_H-M 'P 1'
_symmetry_Int_Tables_number 1
loop_
_symmetry_equiv_pos_as_xyz
'x,y,z'
loop_
_atom_site_label
_atom_site_fract_x
_atom_site_fract_y
_atom_site_fract_z
Mo1 0.000 0.000 0.000
H1 0.000 0.000 0.500
H2 0.000 0.500 0.000
H3 0.500 0.000 0.000
Ru1 0.500 0.500 0.500
# - uncorrected energy (eV per atom) = -5.4790
# - crystal system = cubic
# - magnetic moment (μB per formula unit) = 1.4
# - E above lowest polymorph (meV/atom) = 204

=====

# TaSnBiRu (PBE, relaxed)
data_TaSnBiRu
_cell_length_a 3.134
_cell_length_b 4.349
_cell_length_c 7.732
_cell_angle_alpha 97.11
_cell_angle_beta 90.26
_cell_angle_gamma 110.80
_symmetry_space_group_name_H-M 'P 1'
_symmetry_Int_Tables_number 1
loop_
_symmetry_equiv_pos_as_xyz
'x,y,z'
loop_
_atom_site_label
_atom_site_fract_x
_atom_site_fract_y
_atom_site_fract_z
Ta1 0.000 0.000 0.000
Sn1 0.468 0.937 0.348
Bi1 0.663 0.337 0.734
Ru1 0.737 0.476 0.138
# - uncorrected energy (eV per atom) = -7.0730
# - crystal system = triclinic
# - energy of formation (eV/f.u.) = 0.720
# - magnetic moment (μB per formula unit) = 0.0
# - E above lowest polymorph (meV/atom) = 224

=====

# GeMoBr2 (PBE, relaxed)
data_GeMoBr2
_cell_length_a 3.206
_cell_length_b 3.206
_cell_length_c 29.558
_cell_angle_alpha 90.00
_cell_angle_beta 90.00
_cell_angle_gamma 120.00
_symmetry_space_group_name_H-M 'P 1'
_symmetry_Int_Tables_number 1
loop_
_symmetry_equiv_pos_as_xyz
'x,y,z'
loop_
_atom_site_label
_atom_site_fract_x
_atom_site_fract_y
_atom_site_fract_z
Ge1 0.000 0.000 0.000
Ge2 0.333 0.667 0.667
Ge3 0.667 0.333 0.333
Mo1 0.000 0.000 0.500
Mo2 0.333 0.667 0.167
Mo3 0.667 0.333 0.833
Br1 0.000 0.000 0.418
Br2 0.000 0.000 0.582
Br3 0.333 0.667 0.084
Br4 0.333 0.667 0.249
Br5 0.667 0.333 0.751
Br6 0.667 0.333 0.916
# - uncorrected energy (eV per atom) = -4.1800
# - crystal system = trigonal
# - magnetic moment (μB per formula unit) = 0.0
# - ΔE_f (raw) (kcal/mol of atoms) = 11.96
# - E above lowest polymorph (meV/atom) = 0